1.
# PBE CeSm4Si4, optimized geometry
data_CeSm4Si4
_chemical_formula_sum 'Ce2 Sm8 Si8'
_cell_length_a 9.0665
_cell_length_b 9.0665
_cell_length_c 5.9047
_cell_angle_alpha 90.00
_cell_angle_beta 90.00
_cell_angle_gamma 90.00
_space_group_name_H-M_alt 'P 1'
_space_group_IT_number 1
_space_group_name_Hall 'P 1'
loop_
_atom_site_label
_atom_site_fract_x
_atom_site_fract_y
_atom_site_fract_z
Ce1 0.2500 0.2500 0.2500
Ce2 0.7500 0.7500 0.7500
Sm1 0.0609 0.6672 0.1212
Sm2 0.1672 0.9391 0.6212
Sm3 0.3328 0.5609 0.6212
Sm4 0.4391 0.8328 0.1212
Sm5 0.5609 0.1672 0.8788
Sm6 0.6672 0.4391 0.3788
Sm7 0.8328 0.0609 0.3788
Sm8 0.9391 0.3328 0.8788
Si1 0.0172 0.6149 0.6132
Si2 0.1149 0.9828 0.1132
Si3 0.3851 0.5172 0.1132
Si4 0.4828 0.8851 0.6132
Si5 0.5172 0.1149 0.3868
Si6 0.6149 0.4828 0.8868
Si7 0.8851 0.0172 0.8868
Si8 0.9828 0.3851 0.3868
# - M_tot (Bohr magnetons per cell) = 2.56
# - DOS at the Fermi energy (states/eV per cell) = 26.2
# - total energy (eV per atom) = -5.5826
# - formation energy without anion corrections (eV/atom) = -0.42

---

2.
# PBE CeSmSi4, optimized geometry
data_CeSmSi4
_chemical_formula_sum 'Ce1 Sm1 Si4'
_cell_length_a 7.6926
_cell_length_b 7.6926
_cell_length_c 7.6926
_cell_angle_alpha 149.17
_cell_angle_beta 149.17
_cell_angle_gamma 44.16
_space_group_name_H-M_alt 'P 1'
_space_group_IT_number 1
_space_group_name_Hall 'P 1'
loop_
_atom_site_label
_atom_site_fract_x
_atom_site_fract_y
_atom_site_fract_z
Ce1 0.0000 0.0000 0.0000
Sm1 0.2500 0.7500 0.5000
Si1 0.4171 0.4171 0.0000
Si2 0.5829 0.5829 0.0000
Si3 0.6666 0.1666 0.5000
Si4 0.8334 0.3334 0.5000
# - M_tot (Bohr magnetons per cell) = 0.01
# - DOS at the Fermi energy (states/eV per cell) = 5.8
# - energy above the most stable polymorph in this dataset (eV per atom) = 0.0000
# - total energy (eV per atom) = -6.0168
# - formation energy without anion corrections (eV/atom) = -0.63

---

Question: Which formula does entry 1 have?
Answer: CeSm4Si4

---

What did the first record say?
# PBE CeSm4Si4, optimized geometry
data_CeSm4Si4
_chemical_formula_sum 'Ce2 Sm8 Si8'
_cell_length_a 9.0665
_cell_length_b 9.0665
_cell_length_c 5.9047
_cell_angle_alpha 90.00
_cell_angle_beta 90.00
_cell_angle_gamma 90.00
_space_group_name_H-M_alt 'P 1'
_space_group_IT_number 1
_space_group_name_Hall 'P 1'
loop_
_atom_site_label
_atom_site_fract_x
_atom_site_fract_y
_atom_site_fract_z
Ce1 0.2500 0.2500 0.2500
Ce2 0.7500 0.7500 0.7500
Sm1 0.0609 0.6672 0.1212
Sm2 0.1672 0.9391 0.6212
Sm3 0.3328 0.5609 0.6212
Sm4 0.4391 0.8328 0.1212
Sm5 0.5609 0.1672 0.8788
Sm6 0.6672 0.4391 0.3788
Sm7 0.8328 0.0609 0.3788
Sm8 0.9391 0.3328 0.8788
Si1 0.0172 0.6149 0.6132
Si2 0.1149 0.9828 0.1132
Si3 0.3851 0.5172 0.1132
Si4 0.4828 0.8851 0.6132
Si5 0.5172 0.1149 0.3868
Si6 0.6149 0.4828 0.8868
Si7 0.8851 0.0172 0.8868
Si8 0.9828 0.3851 0.3868
# - M_tot (Bohr magnetons per cell) = 2.56
# - DOS at the Fermi energy (states/eV per cell) = 26.2
# - total energy (eV per atom) = -5.5826
# - formation energy without anion corrections (eV/atom) = -0.42

---

Question: The highest DOS at the Fermi energy belongs to which entry?
Answer: CeSm4Si4